Material: Tm6Ni2Pt
Method: DFT, PBE
State: optimized geometry

Lattice parameters (Å, degrees): 6.377 6.983 11.584 90.00 120.24 90.00
Space group P2_1/c (No. 14)
Symmetry-distinct sites (fractional):
Tm  0.078  0.186  0.425
Tm  0.237  0.667  0.419
Tm  0.410  0.051  0.243
Ni  0.176  0.116  0.734
Pt  0.500  0.000  0.500

Calculated density = 9.88 g/cm³
E = -5.3941 eV/atom
Formation energy = -0.46 eV/atom